Record 1
Computed, not measured: a relaxed KZrBr2 crystal at the PBE level of DFT.

a b c (Å): 3.696 3.880 15.362
angles (deg): 90.00 90.00 90.00
Space group Imm2 (No. 44)
Asymmetric unit:
K (0.000, 0.000, 0.000) [2 per cell]
Zr (0.000, 0.500, 0.747) [2 per cell]
Br (0.000, 0.000, 0.616) [2 per cell]
Br (0.000, 0.500, 0.322) [2 per cell]

- V (Å³/atom) = 27.54
- energy relative to the elements, uncorrected (kJ per mole of atoms) = -66.4
- energy above the most stable polymorph in this dataset (meV/atom) = 121.5
- M_tot (μB/f.u.) = 0.87
- Fermi-level density of states (states/eV/f.u.) = 2.0

Record 2
Computed, not measured: a relaxed KZr2Br crystal at the PBE level of DFT.

a b c (Å): 5.261 5.261 8.119
angles (deg): 90.00 90.00 90.00
Space group I-4m2 (No. 119)
Asymmetric unit:
K (0.000, 0.000, 0.000) [2 per cell]
Zr (0.000, 0.000, 0.500) [2 per cell]
Zr (0.000, 0.500, 0.750) [2 per cell]
Br (0.000, 0.500, 0.250) [2 per cell]

- V (Å³/atom) = 28.09
- energy relative to the elements, uncorrected (kJ per mole of atoms) = 73.4
- energy above the most stable polymorph in this dataset (meV/atom) = 1000.7
- M_tot (μB/f.u.) = 4.10
- Fermi-level density of states (states/eV/f.u.) = 4.3

Record 3
Computed, not measured: a relaxed K2Zr2Br crystal at the PBE level of DFT.

a b c (Å): 4.554 4.554 17.500
angles (deg): 90.00 90.00 90.00
Space group I4/mmm (No. 139)
Asymmetric unit:
K (0.000, 0.500, 0.250) [4 per cell]
Zr (0.000, 0.000, 0.067) [4 per cell]
Br (0.000, 0.000, 0.500) [2 per cell]

- V (Å³/atom) = 36.29
- energy relative to the elements, uncorrected (kJ per mole of atoms) = 90.6
- energy above the most stable polymorph in this dataset (meV/atom) = 231.1
- M_tot (μB/f.u.) = 0.00
- Fermi-level density of states (states/eV/f.u.) = 4.8

Record 4
Computed, not measured: a relaxed LaBr crystal at the PBE level of DFT.

a b c (Å): 12.142 12.142 3.938
angles (deg): 90.00 90.00 90.00
Space group I4/m (No. 87)
Asymmetric unit:
La (0.106, 0.337, 0.000) [8 per cell]
Br (0.100, 0.798, 0.000) [8 per cell]

- V (Å³/atom) = 36.28
- energy relative to the elements, uncorrected (kJ per mole of atoms) = -115.6
- M_tot (μB/f.u.) = 0.08
- Fermi-level density of states (states/eV/f.u.) = 2.0

Record 5
Computed, not measured: a relaxed La3Br crystal at the PBE level of DFT.

a b c (Å): 3.8216 3.8216 32.0723
angles (deg): 90.00 90.00 120.00
Space group R-3m (No. 166, hexagonal axes)
Asymmetric unit:
La (0.0000, 0.0000, 0.0000) [3 per cell]
La (0.0000, 0.0000, 0.2417) [6 per cell]
Br (0.0000, 0.0000, 0.5000) [3 per cell]

- V (Å³/atom) = 33.80
- energy relative to the elements, uncorrected (kJ per mole of atoms) = -59.7
- energy above the most stable polymorph in this dataset (meV/atom) = 0.0
- M_tot (μB/f.u.) = 0.00
- Fermi-level density of states (states/eV/f.u.) = 3.0

Record 6
Computed, not measured: a relaxed LaBr5 crystal at the PBE level of DFT.

a b c (Å): 15.262 4.146 7.882
angles (deg): 90.00 100.09 90.00
Space group Cm (No. 8)
Asymmetric unit:
La (0.000, 0.000, 0.000) [2 per cell]
Br (0.066, 0.500, 0.257) [2 per cell]
Br (0.077, 0.500, 0.796) [2 per cell]
Br (0.337, 0.000, 0.811) [2 per cell]
Br (0.342, 0.500, 0.154) [2 per cell]
Br (0.343, 0.000, 0.509) [2 per cell]

- V (Å³/atom) = 40.92
- energy relative to the elements, uncorrected (kJ per mole of atoms) = -115.1
- energy above the most stable polymorph in this dataset (meV/atom) = 48.7
- M_tot (μB/f.u.) = 0.00

Record 7
Computed, not measured: a relaxed LaBr5 crystal at the PBE level of DFT.

a b c (Å): 4.760 20.685 5.889
angles (deg): 90.00 90.00 90.00
Space group Cmmm (No. 65)
Asymmetric unit:
La (0.000, 0.000, 0.000) [2 per cell]
Br (0.000, 0.000, 0.500) [2 per cell]
Br (0.000, 0.269, 0.500) [4 per cell]
Br (0.000, 0.411, 0.000) [4 per cell]

- V (Å³/atom) = 48.33
- energy relative to the elements, uncorrected (kJ per mole of atoms) = -119.8
- energy above the most stable polymorph in this dataset (meV/atom) = 0.0
- M_tot (μB/f.u.) = 0.00
- Fermi-level density of states (states/eV/f.u.) = 2.4

Record 8
Computed, not measured: a relaxed La5Br7 crystal at the PBE level of DFT.

a b c (Å): 14.374 3.800 13.646
angles (deg): 90.00 98.52 90.00
Space group C2/m (No. 12)
Asymmetric unit:
La (0.000, 0.000, 0.000) [2 per cell]
La (0.149, 0.000, 0.434) [4 per cell]
La (0.153, 0.500, 0.852) [4 per cell]
Br (0.000, 0.500, 0.500) [2 per cell]
Br (0.009, 0.000, 0.232) [4 per cell]
Br (0.171, 0.500, 0.079) [4 per cell]
Br (0.217, 0.000, 0.661) [4 per cell]

- V (Å³/atom) = 30.71
- energy relative to the elements, uncorrected (kJ per mole of atoms) = -146.8
- M_tot (μB/f.u.) = 0.84
- Fermi-level density of states (states/eV/f.u.) = 5.3

Record 9
Computed, not measured: a relaxed La2Br crystal at the PBE level of DFT.

a b c (Å): 11.646 3.645 9.104
angles (deg): 90.00 94.96 90.00
Space group C2/m (No. 12)
Asymmetric unit:
La (0.123, 0.000, 0.169) [4 per cell]
La (0.134, 0.000, 0.577) [4 per cell]
Br (0.111, 0.500, 0.874) [4 per cell]

- V (Å³/atom) = 32.08
- energy relative to the elements, uncorrected (kJ per mole of atoms) = -68.0
- energy above the most stable polymorph in this dataset (meV/atom) = 126.6
- M_tot (μB/f.u.) = 0.00
- Fermi-level density of states (states/eV/f.u.) = 3.4

Record 10
Computed, not measured: a relaxed La3Br4 crystal at the PBE level of DFT.

a b c (Å): 3.8795 3.8795 50.6748
angles (deg): 90.00 90.00 120.00
Space group R-3m (No. 166, hexagonal axes)
Asymmetric unit:
La (0.0000, 0.0000, 0.0000) [3 per cell]
La (0.0000, 0.0000, 0.2448) [6 per cell]
Br (0.0000, 0.0000, 0.1289) [6 per cell]
Br (0.0000, 0.0000, 0.3772) [6 per cell]

- V (Å³/atom) = 31.45
- energy relative to the elements, uncorrected (kJ per mole of atoms) = -141.0
- M_tot (μB/f.u.) = 0.00
- Fermi-level density of states (states/eV/f.u.) = 5.6

Record 11
Computed, not measured: a relaxed LaBr crystal at the PBE level of DFT.

a b c (Å): 8.033 8.033 8.033
angles (deg): 90.00 90.00 90.00
Space group Fd-3m (No. 227, origin choice 2)
Asymmetric unit:
La (0.125, 0.125, 0.125) [8 per cell]
Br (0.125, 0.125, 0.625) [8 per cell]

- V (Å³/atom) = 32.40
- energy relative to the elements, uncorrected (kJ per mole of atoms) = -46.8
- M_tot (μB/f.u.) = 1.95
- Fermi-level density of states (states/eV/f.u.) = 2.7

Record 12
Computed, not measured: a relaxed LaBr3 crystal at the PBE level of DFT.

a b c (Å): 7.574 7.574 7.574
angles (deg): 90.00 90.00 90.00
Space group Fm-3m (No. 225)
Asymmetric unit:
La (0.000, 0.000, 0.000) [4 per cell]
Br (0.000, 0.000, 0.500) [4 per cell]
Br (0.250, 0.250, 0.250) [8 per cell]

- V (Å³/atom) = 27.16
- energy relative to the elements, uncorrected (kJ per mole of atoms) = -152.6
- M_tot (μB/f.u.) = 0.00
- Fermi-level density of states (states/eV/f.u.) = 0.0